Record 1
A geometry-optimized Ac2MnSb3Pd4 structure, computed with PBE-GGA.

Values from the calculation:
* magnetic moment: 4.4 μB/cell
* E_tot: -5.839 eV/atom

Cell lengths 4.6253, 4.6253, 10.8415 Å; angles 90.00, 90.00, 90.00 degrees
With the nearest neighbours (Å) after each atom.
Fractional positions:
1 Mn 0.5000 0.5000 0.5000  4 Pd 2.67
2 Sb 0.5000 0.0000 0.8682  5 Pd 2.65-2.72
3 Sb 0.0000 0.0000 0.5000  4 Pd 2.67
4 Sb 0.0000 0.5000 0.1318  5 Pd 2.65-2.72
5 Pd 0.0000 0.5000 0.3765  3 Sb 2.65-2.67, 2 Mn 2.67
6 Pd 0.5000 0.0000 0.6235  3 Sb 2.65-2.67, 2 Mn 2.67
7 Pd 0.0000 0.0000 0.0000  4 Sb 2.72
8 Pd 0.5000 0.5000 0.0000  4 Sb 2.72
9 Ac 0.5000 0.0000 0.2437  6 Sb 3.49-3.62, 8 Pd 3.51-3.57, 2 Mn 3.62
10 Ac 0.0000 0.5000 0.7563  6 Sb 3.49-3.62, 8 Pd 3.51-3.57, 2 Mn 3.62

Record 2
A geometry-optimized Ac2MnSb4Pd3 structure, computed with PBE-GGA.

Values from the calculation:
* magnetic moment: 4.0 μB/cell
* E_tot: -5.711 eV/atom

Cell lengths 4.6993, 4.6993, 10.9486 Å; angles 90.00, 90.00, 90.00 degrees
With the nearest neighbours (Å) after each atom.
Fractional positions:
1 Pd 0.0000 0.5000 0.1269  5 Sb 2.67-2.73
2 Pd 0.0000 0.0000 0.5000  4 Sb 2.74
3 Pd 0.5000 0.0000 0.8731  5 Sb 2.67-2.73
4 Ac 0.0000 0.5000 0.7481  8 Sb 3.57-3.62, 2 Mn 3.59, 6 Pd 3.59
5 Ac 0.5000 0.0000 0.2519  8 Sb 3.57-3.62, 2 Mn 3.59, 6 Pd 3.59
6 Sb 0.5000 0.0000 0.6290  3 Pd 2.67-2.74, 2 Mn 2.74
7 Sb 0.0000 0.0000 0.0000  4 Pd 2.73
8 Sb 0.5000 0.5000 0.0000  4 Pd 2.73
9 Sb 0.0000 0.5000 0.3710  3 Pd 2.67-2.74, 2 Mn 2.74
10 Mn 0.5000 0.5000 0.5000  4 Sb 2.74

Record 3
A geometry-optimized Ac2MnSbPd6 structure, computed with PBE-GGA.

Values from the calculation:
* magnetic moment: 4.1 μB/cell
* E_tot: -5.860 eV/atom

Cell lengths 6.8603, 6.8977, 8.9033 Å; angles 49.50, 49.86, 80.06 degrees
With the nearest neighbours (Å) after each atom.
Fractional positions:
1 Ac 0.2546 0.7453 0.5274  7 Pd 3.19-3.29, 2 Mn 3.57
2 Ac 0.7454 0.2547 0.4726  7 Pd 3.19-3.29, 2 Mn 3.57
3 Pd 0.2454 0.7556 0.1597  1 Mn 2.59, 1 Sb 2.68, 4 Pd 2.75-2.86
4 Pd 0.2365 0.2550 0.0000  1 Mn 2.59, 1 Sb 2.68, 4 Pd 2.75-2.86
5 Pd 0.7635 0.7450 0.0000  1 Mn 2.59, 1 Sb 2.68, 4 Pd 2.75-2.86
6 Pd 0.7546 0.2444 0.8403  1 Mn 2.59, 1 Sb 2.68, 4 Pd 2.75-2.86
7 Pd 0.7450 0.7627 0.4917  1 Mn 2.59, 1 Sb 2.68, 4 Pd 2.75-2.86
8 Pd 0.2550 0.2373 0.5083  1 Mn 2.59, 1 Sb 2.68, 4 Pd 2.75-2.86
9 Mn 0.0000 0.0000 0.0000  6 Pd 2.59
10 Sb 0.5000 0.5000 0.0000  6 Pd 2.68